## HfCo2HAu (GGA-PBE)

Data for a geometry-optimized HfCo2HAu structure.

Cell lengths 3.8995, 3.8995, 3.9512 Å; angles 90.00, 90.00, 90.00 degrees
Sites, in units of the cell vectors:
Hf: 0.0000 0.0000 0.0000
Co: 0.0000 0.5000 0.5000
Co: 0.5000 0.0000 0.5000
H: 0.0000 0.0000 0.5000
Au: 0.5000 0.5000 0.0000

Calculated values
The density of states at the Fermi level comes out at 1.96 states/eV/cell. The total magnetization is 0.0 μB/cell. The energy above the lowest structure with this stoichiometry comes out at 0 meV per atom.

## HfCo2HAu (GGA-PBE)

Data for a geometry-optimized HfCo2HAu structure.

Cell lengths 3.9866, 3.9866, 3.7791 Å; angles 90.00, 90.00, 90.00 degrees
Sites, in units of the cell vectors:
Hf: 0.0000 0.0000 0.0000
Co: 0.0000 0.5000 0.5000
Co: 0.5000 0.0000 0.5000
H: 0.5000 0.5000 0.5000
Au: 0.5000 0.5000 0.0000

Calculated values
The density of states at the Fermi level comes out at 0.23 states/eV/cell. The total magnetization is 0.0 μB/cell. The energy above the lowest structure with this stoichiometry comes out at 82 meV per atom.

## Hf2CoHAu (GGA-PBE)

Data for a geometry-optimized Hf2CoHAu structure.

Cell lengths 4.5664, 4.5664, 3.4855 Å; angles 90.00, 90.00, 90.00 degrees
Sites, in units of the cell vectors:
Hf: 0.0000 0.5000 0.0000
Hf: 0.5000 0.0000 0.0000
Co: 0.0000 0.0000 0.5000
H: 0.0000 0.0000 0.0000
Au: 0.5000 0.5000 0.5000

Calculated values
The density of states at the Fermi level comes out at 3.88 states/eV/cell. The total magnetization is 0.0 μB/cell. The uncorrected energy comes out at -7.067 eV/atom.

## La2CoH6Au (GGA-PBE)

Data for a geometry-optimized La2CoH6Au structure.

Cell lengths 5.3993, 5.3993, 5.3647 Å; angles 119.68, 119.68, 90.44 degrees
Sites, in units of the cell vectors:
La: 0.2493 0.7507 0.0000
La: 0.7507 0.2493 0.0000
Co: 0.0000 0.0000 0.5000
H: 0.2102 0.2102 0.9224
H: 0.2109 0.2109 0.4977
H: 0.2107 0.7893 0.5000
H: 0.7893 0.2107 0.5000
H: 0.7891 0.7891 0.5023
H: 0.7898 0.7898 0.0776
Au: 0.5000 0.5000 0.5000

Calculated values
The density of states at the Fermi level comes out at 5.44 states/eV/cell. The total magnetization is 0.2 μB/cell. The uncorrected energy comes out at -4.457 eV/atom.